MgTiAl2B: relaxed, GGA-PBE.

The structure belongs to space group P4/mmm (No. 123); the cell edges are 5.001, 5.001 and 5.346 Å and the angles 90.00°, 90.00° and 90.00°. The inequivalent atoms are Mg at (0.000, 0.000, 0.000), Ti at (0.000, 0.000, 0.500), Al at (0.000, 0.500, 0.500) and B at (0.500, 0.500, 0.000).

The energy of formation from the pure elements is 1.748 eV/atom. Its calculated density is 1.7 g cm⁻³.